[1]
DFT (meta-GGA SCAN) results for a PBEsol-optimized structure of Rb2ZnI2.

Lattice parameters (Å, degrees): 6.8967 6.8967 7.7732 116.34 116.34 90.00
Closest atoms and distances in Å follow each position.
Element x y z (fractional)
1 I 0.6868 0.6868 0.3736  4 Rb 3.53, 1 Zn 3.79
2 I 0.3132 0.3132 0.6264  4 Rb 3.53, 1 Zn 3.79
3 Zn 0.0000 0.0000 0.0000  2 I 3.79
4 Rb 0.7500 0.2500 0.5000  4 I 3.53
5 Rb 0.2500 0.7500 0.5000  4 I 3.53

## Properties
- E (eV per atom) = -26.62
- magnetic moment (μB per formula unit) = 0.000

=====

[2]
DFT (meta-GGA SCAN) results for a PBEsol-optimized structure of ReTeRhI2.

Lattice parameters (Å, degrees): 4.9869 5.3891 5.3891 90.00 90.00 90.00
Closest atoms and distances in Å follow each position.
Element x y z (fractional)
1 Re 0.0000 0.0000 0.0000  2 Te 2.49, 4 I 2.69
2 Te 0.5000 0.0000 0.0000  2 Re 2.49
3 Rh 0.5000 0.5000 0.5000  8 I 3.67, 4 Te 3.81
4 I 0.0000 0.5000 0.0000  2 Re 2.69
5 I 0.0000 0.0000 0.5000  2 Re 2.69

## Properties
- E (eV per atom) = -41.79
- magnetic moment (μB per formula unit) = 0.356

=====

[3]
DFT (meta-GGA SCAN) results for a PBEsol-optimized structure of ReTe2RhI.

Lattice parameters (Å, degrees): 5.0233 5.0233 5.5511 90.00 90.00 90.00
Closest atoms and distances in Å follow each position.
Element x y z (fractional)
1 Te 0.0000 0.5000 0.0000  2 Re 2.51
2 Te 0.5000 0.0000 0.0000  2 Re 2.51
3 Rh 0.5000 0.5000 0.5000  4 I 3.55, 8 Te 3.74
4 Re 0.0000 0.0000 0.0000  4 Te 2.51, 2 I 2.78
5 I 0.0000 0.0000 0.5000  2 Re 2.78

## Properties
- E (eV per atom) = -41.95
- magnetic moment (μB per formula unit) = 2.088

=====

[4]
DFT (meta-GGA SCAN) results for a PBEsol-optimized structure of Re2RuI.

Lattice parameters (Å, degrees): 4.4636 4.4636 4.4636 60.00 60.00 60.00
Closest atoms and distances in Å follow each position.
Element x y z (fractional)
1 Re 0.2500 0.2500 0.2500  4 Ru 2.73, 4 I 2.73
2 Re 0.7500 0.7500 0.7500  4 Ru 2.73, 4 I 2.73
3 Ru 0.0000 0.0000 0.0000  8 Re 2.73
4 I 0.5000 0.5000 0.5000  8 Re 2.73

## Properties
- E (eV per atom) = -52.19
- magnetic moment (μB per formula unit) = 0.000

=====

[5]
DFT (meta-GGA SCAN) results for a PBEsol-optimized structure of ReSb2RuI.

Lattice parameters (Å, degrees): 5.0032 5.0032 5.5382 90.00 90.00 90.00
Closest atoms and distances in Å follow each position.
Element x y z (fractional)
1 Ru 0.5000 0.5000 0.5000  4 I 3.54, 8 Sb 3.73
2 I 0.0000 0.0000 0.5000  2 Re 2.77
3 Re 0.0000 0.0000 0.0000  4 Sb 2.50, 2 I 2.77
4 Sb 0.5000 0.0000 0.0000  2 Re 2.50
5 Sb 0.0000 0.5000 0.0000  2 Re 2.50

## Properties
- E (eV per atom) = -41.96
- magnetic moment (μB per formula unit) = 3.208

=====

[6]
DFT (meta-GGA SCAN) results for a PBEsol-optimized structure of ReTeRuI2.

Lattice parameters (Å, degrees): 5.0515 5.2954 5.2954 90.00 90.00 90.00
Closest atoms and distances in Å follow each position.
Element x y z (fractional)
1 Re 0.5000 0.5000 0.5000  8 I 3.66, 4 Te 3.74
2 I 0.0000 0.0000 0.5000  2 Ru 2.65
3 I 0.0000 0.5000 0.0000  2 Ru 2.65
4 Te 0.5000 0.0000 0.0000  2 Ru 2.53
5 Ru 0.0000 0.0000 0.0000  2 Te 2.53, 4 I 2.65

## Properties
- E (eV per atom) = -41.80
- magnetic moment (μB per formula unit) = 4.056